(1)
The following is a DFT calculation (GGA-PBE) of a relaxed structure of AlAsCl.

a b c (Å): 6.3789 6.3789 6.3789
angles (deg): 90.00 90.00 90.00
Element x y z (fractional)
1 Al 0.0000 0.0000 0.0000
2 Al 0.0000 0.5000 0.5000
3 Al 0.5000 0.0000 0.5000
4 Al 0.5000 0.5000 0.0000
5 As 0.2500 0.2500 0.2500
6 As 0.2500 0.7500 0.7500
7 As 0.7500 0.2500 0.7500
8 As 0.7500 0.7500 0.2500
9 Cl 0.2500 0.2500 0.7500
10 Cl 0.2500 0.7500 0.2500
11 Cl 0.7500 0.2500 0.2500
12 Cl 0.7500 0.7500 0.7500

Calculated values
**Volume**: 260 Å³ per cell
**Total magnetization**: 0.0 Bohr magnetons per cell
**Space group**: F-43m, No. 216
**Formation energy from raw total energies**: 20 meV per atom



(2)
The following is a DFT calculation (GGA-PBE) of a relaxed structure of SmC.

a b c (Å): 3.7188 5.2308 3.7125
angles (deg): 90.00 90.00 90.00
Element x y z (fractional)
1 Sm 0.2500 0.2500 0.2399
2 Sm 0.7500 0.7500 0.7601
3 C 0.2500 0.7500 0.2743
4 C 0.7500 0.2500 0.7257

Calculated values
**Volume**: 72 Å³ per cell
**Total magnetization**: 0.0 Bohr magnetons per cell
**Space group**: Pmmn, No. 59
**Polymorph energy (0 for the lowest one)**: 395 meV/atom
**Energy relative to the elements**: 0.211 eV/atom



(3)
The following is a DFT calculation (GGA-PBE) of a relaxed structure of Li12HoAg6.

a b c (Å): 7.1367 7.1367 7.1367
angles (deg): 87.90 87.90 87.90
Element x y z (fractional)
1 Li 0.0180 0.3119 0.9045
2 Li 0.0955 0.9820 0.6881
3 Li 0.1005 0.3372 0.4572
4 Li 0.3119 0.9045 0.0180
5 Li 0.3372 0.4572 0.1005
6 Li 0.4572 0.1005 0.3372
7 Li 0.5428 0.8995 0.6628
8 Li 0.6628 0.5428 0.8995
9 Li 0.6881 0.0955 0.9820
10 Li 0.8995 0.6628 0.5428
11 Li 0.9045 0.0180 0.3119
12 Li 0.9820 0.6881 0.0955
13 Ho 0.5000 0.5000 0.5000
14 Ag 0.2112 0.6244 0.7718
15 Ag 0.2282 0.7888 0.3756
16 Ag 0.3756 0.2282 0.7888
17 Ag 0.6244 0.7718 0.2112
18 Ag 0.7718 0.2112 0.6244
19 Ag 0.7888 0.3756 0.2282

Calculated values
**Volume**: 363 Å³ per cell
**Total magnetization**: 0.0 Bohr magnetons per cell
**Space group**: R-3, No. 148
**Energy relative to the elements**: -0.103 eV/atom



(4)
The following is a DFT calculation (GGA-PBE) of a relaxed structure of Na3UPt2Se6.

a b c (Å): 6.6491 6.6491 7.5147
angles (deg): 98.51 98.51 119.97
Element x y z (fractional)
1 Na 0.0000 0.0000 0.0000
2 Na 0.3378 0.6622 0.0000
3 Na 0.6622 0.3378 0.0000
4 U 0.5000 0.5000 0.5000
5 Pt 0.1667 0.8333 0.5000
6 Pt 0.8333 0.1667 0.5000
7 Se 0.0768 0.4287 0.2862
8 Se 0.2190 0.2190 0.7129
9 Se 0.4287 0.0768 0.2862
10 Se 0.5713 0.9232 0.7138
11 Se 0.7810 0.7810 0.2871
12 Se 0.9232 0.5713 0.7138

Calculated values
**Volume**: 275 Å³ per cell
**Total magnetization**: 1.2 Bohr magnetons per cell
**Space group**: C2/m, No. 12
**Formation energy from raw total energies**: -757 meV per atom



(5)
The following is a DFT calculation (GGA-PBE) of a relaxed structure of AlCdSe2.

a b c (Å): 3.8276 3.8276 6.3904
angles (deg): 90.00 90.00 90.00
Element x y z (fractional)
1 Al 0.0000 0.0000 0.0000
2 Cd 0.5000 0.5000 0.4976
3 Se 0.0000 0.0000 0.6083
4 Se 0.5000 0.5000 0.0683

Calculated values
**Volume**: 94 Å³ per cell
**Total magnetization**: 0.0 Bohr magnetons per cell
**Space group**: P4mm, No. 99
**Polymorph energy (0 for the lowest one)**: 47 meV/atom
**Formation energy from raw total energies**: -479 meV per atom



(6)
The following is a DFT calculation (GGA-PBE) of a relaxed structure of Y5Al4Cd.

a b c (Å): 3.6125 3.6125 18.4217
angles (deg): 90.00 90.00 90.00
Element x y z (fractional)
1 Y 0.0000 0.0000 0.0000
2 Y 0.0000 0.0000 0.1951
3 Y 0.0000 0.0000 0.3917
4 Y 0.0000 0.0000 0.6083
5 Y 0.0000 0.0000 0.8049
6 Al 0.5000 0.5000 0.0975
7 Al 0.5000 0.5000 0.2946
8 Al 0.5000 0.5000 0.7054
9 Al 0.5000 0.5000 0.9025
10 Cd 0.5000 0.5000 0.5000

Calculated values
**Volume**: 240 Å³ per cell
**Total magnetization**: 0.0 Bohr magnetons per cell
**Space group**: P4/mmm, No. 123
**Energy relative to the elements**: -0.408 eV/atom



(7)
The following is a DFT calculation (GGA-PBE) of a relaxed structure of GaH2I2.

a b c (Å): 6.6895 6.6895 7.5985
angles (deg): 92.15 92.15 109.96
Element x y z (fractional)
1 Ga 0.1289 0.8711 0.0000
2 Ga 0.8711 0.1289 0.0000
3 H 0.0806 0.0806 0.8761
4 H 0.3616 0.3616 0.2305
5 H 0.6384 0.6384 0.7695
6 H 0.9194 0.9194 0.1239
7 I 0.1636 0.5116 0.2381
8 I 0.4884 0.8364 0.7619
9 I 0.5116 0.1636 0.2381
10 I 0.8364 0.4884 0.7619

Calculated values
**Volume**: 319 Å³ per cell
**Total magnetization**: 0.0 Bohr magnetons per cell
**Space group**: C2/m, No. 12
**Polymorph energy (0 for the lowest one)**: 234 meV/atom



(8)
The following is a DFT calculation (GGA-PBE) of a relaxed structure of ZrZnBr2.

a b c (Å): 3.4616 3.4616 8.3870
angles (deg): 90.00 90.00 90.00
Element x y z (fractional)
1 Zr 0.0000 0.0000 0.0000
2 Zn 0.5000 0.5000 0.8142
3 Br 0.0000 0.0000 0.6431
4 Br 0.5000 0.5000 0.2059

Calculated values
**Volume**: 100 Å³ per cell
**Total magnetization**: 0.0 Bohr magnetons per cell
**Space group**: P4mm, No. 99
**Polymorph energy (0 for the lowest one)**: 91 meV/atom
**Formation energy from raw total energies**: -575 meV per atom



Q: What is the volume in the third record?
A: 363 Å³ per cell



What did the seventh record say?
The following is a DFT calculation (GGA-PBE) of a relaxed structure of GaH2I2.

a b c (Å): 6.6895 6.6895 7.5985
angles (deg): 92.15 92.15 109.96
Element x y z (fractional)
1 Ga 0.1289 0.8711 0.0000
2 Ga 0.8711 0.1289 0.0000
3 H 0.0806 0.0806 0.8761
4 H 0.3616 0.3616 0.2305
5 H 0.6384 0.6384 0.7695
6 H 0.9194 0.9194 0.1239
7 I 0.1636 0.5116 0.2381
8 I 0.4884 0.8364 0.7619
9 I 0.5116 0.1636 0.2381
10 I 0.8364 0.4884 0.7619

Calculated values
**Volume**: 319 Å³ per cell
**Total magnetization**: 0.0 Bohr magnetons per cell
**Space group**: C2/m, No. 12
**Polymorph energy (0 for the lowest one)**: 234 meV/atom